PHRuO2 | PBE | relaxed

Geometry as POSCAR:
```
PHRuO2
1.0
3.9178 0.0000 0.0000
0.0000 3.9178 0.0000
0.0000 0.0000 2.9611
P H Ru O
1 1 1 2
Direct
0.0000 0.0000 0.0000
0.0000 0.0000 0.5000
0.5000 0.5000 0.0000
0.0000 0.5000 0.5000
0.5000 0.0000 0.5000
```

Calculated values
V, Å³/f.u.: 45.45
Density of states at the Fermi level, states/eV/cell: 3.61
Final energy, eV/atom: -4.92
ΔE to the lowest computed polymorph, meV per atom: 504
Symmetry: No. 123